DFT (GGA-PBEsol) results for a relaxed EuCu3Pd2 crystal.

Cell: 5.1198 5.1198 4.2076 Å, 90.00 90.00 120.00°
Closest atoms and distances in Å follow each position.
Space group P6/mmm (No. 191)
One atom of each set of equivalent atoms:
Eu 0.0000 0.0000 0.0000  6 Pd 2.96
Cu 0.0000 0.5000 0.5000  4 Cu 2.56, 4 Pd 2.57
Pd 0.3333 0.6667 0.0000  6 Cu 2.57

Computed properties:
final energy = -37.5 eV/cell
N(E_F) = 15.55 states/eV per cell
E_form = -0.338 eV/atom
size of the total moment = 1.131 μB per atom


DFT (GGA-PBEsol) results for a relaxed Pd crystal.

Cell: 3.8702 3.8702 3.8702 Å, 90.00 90.00 90.00°
Closest atoms and distances in Å follow each position.
Space group Fm-3m (No. 225)
One atom of each set of equivalent atoms:
Pd 0.0000 0.0000 0.0000  12 Pd 2.74

Computed properties:
final energy = -23.8 eV/cell
N(E_F) = 10.59 states/eV per cell
E_form = 0.000 eV/atom
size of the total moment = 0.160 μB per atom


DFT (GGA-PBEsol) results for a relaxed Sr2CePrCu3Pb2O10 crystal.

Cell: 37.0058 3.8166 3.8367 Å, 90.00 94.62 90.00°
Closest atoms and distances in Å follow each position.
Space group Cm (No. 8)
One atom of each set of equivalent atoms:
Sr 0.0000 0.0000 0.0000  9 O 2.61-2.76
Sr 0.2356 0.0000 0.2952  9 O 2.55-2.76
Ce 0.3322 0.0000 0.3701  8 O 2.26-2.49
Pr 0.4037 0.5000 0.9255  8 O 2.39-2.52
Cu 0.1185 0.0000 0.1479  2 O 1.84
Cu 0.2838 0.5000 0.8328  4 O 1.92-1.93
Cu 0.4531 0.0000 0.4636  4 O 1.92-1.93
Pb 0.0717 0.5000 0.5845  1 O 2.15
Pb 0.1645 0.5000 0.7109  1 O 2.17
O 0.0135 0.5000 0.5067  1 Pb 2.15, 1 Cu 2.23
O 0.0703 0.0000 0.9864  1 Cu 1.84
O 0.1668 0.0000 0.3089  1 Cu 1.84
O 0.2234 0.5000 0.7907  1 Pb 2.17, 1 Cu 2.23
O 0.2894 0.0000 0.8367  2 Cu 1.92
O 0.2892 0.5000 0.3370  2 Cu 1.93
O 0.3648 0.0000 0.8954  2 Ce 2.26, 2 Pr 2.39
O 0.3649 0.5000 0.3954  2 Ce 2.26, 2 Pr 2.39
O 0.4482 0.0000 0.9599  2 Cu 1.93
O 0.4478 0.5000 0.4599  2 Cu 1.92

Computed properties:
final energy = -253.5 eV/cell
N(E_F) = 4.30 states/eV per cell
formation energy without anion corrections = -1.989 eV per atom
size of the total moment = 0.000 μB per atom


DFT (GGA-PBEsol) results for a relaxed BaSrLa2 crystal.

Cell: 4.1593 6.2605 6.4855 Å, 90.00 90.00 90.00°
Closest atoms and distances in Å follow each position.
Space group Pmmm (No. 47)
One atom of each set of equivalent atoms:
Ba 0.0000 0.0000 0.0000  4 Sr 3.76, 4 La 3.85, 2 Ba 4.16
Sr 0.5000 0.5000 0.0000  4 Ba 3.76, 4 La 3.85, 2 Sr 4.16
La 0.0000 0.5000 0.5000  6 La 3.76-4.16, 4 Sr 3.85
La 0.5000 0.0000 0.5000  6 La 3.76-4.16, 4 Ba 3.85

Computed properties:
final energy = -13.8 eV/cell
N(E_F) = 6.61 states/eV per cell
E_form = 0.215 eV/atom
size of the total moment = 0.000 μB per atom